Record 1
The following is a PBE-GGA calculation of an optimized crystal structure of LiAgSn3, from Alexandria via LeMat-Bulk.

The structure in extended XYZ format:
```
5
Lattice="-3.850 -3.679 -0.928 3.181 -2.409 -3.647 2.069 -3.143 3.881" Properties=species:S:1:pos:R:3 pbc="T T T"
Li 0.700 -4.616 -0.346
Sn 1.591 -1.205 -1.823
Sn 1.034 -1.572 1.941
Sn -1.925 -1.840 -0.464
Ag 0.000 0.000 0.000
```

## Properties
E above lowest polymorph = 40.3 kJ per mole of atoms
Magnetization = 0.0 μB/f.u.
Space group = Pm-3m, No. 221
Energy of formation from the pure elements = 332 meV per atom


Record 2
The following is a PBE-GGA calculation of an optimized crystal structure of Li4Ag5Sn, from Alexandria via LeMat-Bulk.

The structure in extended XYZ format:
```
10
Lattice="5.329 0.000 0.000 2.665 5.817 0.000 2.665 0.000 5.817" Properties=species:S:1:pos:R:3 pbc="T T T"
Li 5.105 2.253 5.120
Li 7.770 5.120 3.564
Li 2.440 0.697 2.253
Li 5.105 3.564 0.697
Ag 3.633 0.000 0.000
Ag 2.436 3.514 1.643
Ag 7.766 2.302 4.173
Ag 5.101 4.173 3.514
Ag 5.101 1.643 2.302
Sn 0.896 0.000 0.000
```

## Properties
E above lowest polymorph = 4.2 kJ per mole of atoms
Magnetization = 0.0 μB/f.u.
Space group = I4, No. 79
Energy of formation from the pure elements = -62 meV per atom


Record 3
The following is a PBE-GGA calculation of an optimized crystal structure of Li6Ag8Sn, from Alexandria via LeMat-Bulk.

The structure in extended XYZ format:
```
15
Lattice="-6.199 -3.046 -3.201 0.041 -1.833 -7.389 -0.256 -6.586 -2.290" Properties=species:S:1:pos:R:3 pbc="T T T"
Li -5.538 -4.263 -5.821
Li -0.876 -7.202 -7.058
Li -3.806 -4.393 -8.853
Li -2.243 -3.114 -6.001
Li -4.172 -8.351 -6.878
Li -2.609 -7.071 -4.026
Ag -5.297 -6.908 -5.097
Ag -4.817 -8.580 -9.664
Ag -1.597 -2.884 -3.215
Ag -0.988 -5.293 -4.880
Ag -3.764 -4.572 -4.012
Ag -1.118 -4.557 -7.782
Ag -5.427 -6.172 -7.999
Ag -2.651 -6.892 -8.868
Sn 0.000 0.000 0.000
```

## Properties
Magnetization = 0.0 μB/f.u.
Space group = R-3, No. 148
Energy of formation from the pure elements = -104 meV per atom


Record 4
The following is a PBE-GGA calculation of an optimized crystal structure of LiAg5Sn3, from Alexandria via LeMat-Bulk.

The structure in extended XYZ format:
```
18
Lattice="-2.846 -1.610 -7.741 -2.015 -7.808 2.364 -2.619 6.464 4.180" Properties=species:S:1:pos:R:3 pbc="T T T"
Ag -2.673 -1.498 -1.526
Ag -3.146 0.272 3.920
Ag -3.344 -5.212 0.572
Ag -2.475 3.986 1.822
Ag -2.430 -4.709 -2.689
Ag -4.334 -3.226 -5.117
Ag 0.000 0.000 0.000
Ag -4.807 -1.456 0.328
Ag -4.136 2.258 -1.769
Ag -5.006 -6.940 -3.019
Li -3.948 0.073 -3.125
Li -3.532 -3.027 1.928
Sn -4.955 -3.831 -1.943
Sn -1.106 -3.173 -0.010
Sn -3.755 -6.245 -5.367
Sn -2.525 0.877 0.746
Sn -2.865 -7.502 -0.872
Sn -1.996 -1.916 -4.505
```

## Properties
Magnetization = 0.0 μB/f.u.
Space group = I4/mcm, No. 140
Energy of formation from the pure elements = 131 meV per atom